Compound: LaRu3I
Source: the Alexandria database
Functional: PBE
Structure: optimized geometry

Unit cell a=5.0067 b=5.0067 c=5.0067 alpha=90.00 beta=90.00 gamma=90.00
With the nearest neighbours (Å) after each atom.
Space group Pm-3m (No. 221)
Inequivalent atoms, fractional coordinates:
La1 0.0000 0.0000 0.0000 [1 per cell]  6 Ru 2.50
Ru1 0.0000 0.0000 0.5000 [3 per cell]  2 La 2.50
I1 0.5000 0.5000 0.5000 [1 per cell]  12 Ru 3.54

Values from the calculation:
Excess energy over the best structure of this formula in the dataset, eV/f.u.: 4.316
Fermi-level density of states, states/eV/cell: 4.3

=====

Compound: LaRuI3
Source: the Alexandria database
Functional: PBE
Structure: optimized geometry

Unit cell a=6.2637 b=6.2637 c=6.2637 alpha=90.00 beta=90.00 gamma=90.00
With the nearest neighbours (Å) after each atom.
Space group Pm-3m (No. 221)
Inequivalent atoms, fractional coordinates:
La1 0.0000 0.0000 0.0000 [1 per cell]  6 I 3.13
Ru1 0.5000 0.5000 0.5000 [1 per cell]  12 I 4.43
I1 0.0000 0.0000 0.5000 [3 per cell]  2 La 3.13

Values from the calculation:
Excess energy over the best structure of this formula in the dataset, eV/f.u.: 1.856
Fermi-level density of states, states/eV/cell: 5.5

=====

Compound: La4Ru2I5
Source: the Alexandria database
Functional: PBE
Structure: optimized geometry

Unit cell a=22.3415 b=4.3328 c=9.1725 alpha=90.00 beta=99.61 gamma=90.00
With the nearest neighbours (Å) after each atom.
Space group C2/m (No. 12)
Inequivalent atoms, fractional coordinates:
La1 0.0245 0.0000 0.2177 [4 per cell]  2 Ru 2.92, 1 I 3.26
La2 0.1599 0.5000 0.0882 [4 per cell]  1 Ru 2.29
Ru1 0.0562 0.5000 0.0313 [4 per cell]  1 La 2.29, 1 Ru 2.48
I1 0.0000 0.5000 0.5000 [2 per cell]  4 La 3.49
I2 0.1680 0.0000 0.3639 [4 per cell]  3 La 3.26-3.31
I3 0.1888 0.0000 0.8310 [4 per cell]  3 La 3.34

Values from the calculation:
Excess energy over the best structure of this formula in the dataset, eV/f.u.: 0.000
Fermi-level density of states, states/eV/cell: 7.3

=====

Compound: LaRu3I
Source: the Alexandria database
Functional: PBE
Structure: optimized geometry

Unit cell a=4.8491 b=4.8491 c=4.8491 alpha=90.00 beta=90.00 gamma=90.00
With the nearest neighbours (Å) after each atom.
Space group Pm-3m (No. 221)
Inequivalent atoms, fractional coordinates:
La1 0.0000 0.0000 0.0000 [1 per cell]  12 Ru 3.43
Ru1 0.0000 0.5000 0.5000 [3 per cell]  2 I 2.42
I1 0.5000 0.5000 0.5000 [1 per cell]  6 Ru 2.42

Values from the calculation:
Excess energy over the best structure of this formula in the dataset, eV/f.u.: 0.000
Fermi-level density of states, states/eV/cell: 6.0

=====

Compound: La3RuI3
Source: the Alexandria database
Functional: PBE
Structure: optimized geometry

Unit cell a=9.5694 b=4.3979 c=12.6092 alpha=90.00 beta=93.21 gamma=90.00
With the nearest neighbours (Å) after each atom.
Space group P2_1/m (No. 11)
Inequivalent atoms, fractional coordinates:
La1 0.0959 0.2500 0.3962 [2 per cell]  3 Ru 2.92-2.98
La2 0.1160 0.2500 0.8310 [2 per cell]  1 Ru 2.56
La3 0.3150 0.7500 0.6202 [2 per cell]  2 Ru 2.93
Ru1 0.1138 0.2500 0.6281 [2 per cell]  1 La 2.56
I1 0.1323 0.2500 0.1198 [2 per cell]  4 La 3.32-3.64
I2 0.3666 0.7500 0.8796 [2 per cell]  3 La 3.28-3.29
I3 0.3940 0.7500 0.3648 [2 per cell]  5 La 3.35-3.64

Values from the calculation:
Excess energy over the best structure of this formula in the dataset, eV/f.u.: 0.000
Fermi-level density of states, states/eV/cell: 3.8

=====

Compound: La6Ru3I
Source: the Alexandria database
Functional: PBE
Structure: optimized geometry

Unit cell a=12.3477 b=4.2395 c=12.4429 alpha=90.00 beta=107.85 gamma=90.00
With the nearest neighbours (Å) after each atom.
Space group P2_1/m (No. 11)
Inequivalent atoms, fractional coordinates:
La1 0.0381 0.2500 0.3876 [2 per cell]  4 Ru 2.87-3.11
La2 0.0896 0.2500 0.9318 [2 per cell]  3 Ru 2.80-2.98
La3 0.2130 0.7500 0.2496 [2 per cell]  2 Ru 2.69
La4 0.2573 0.2500 0.6819 [2 per cell]  3 Ru 2.88-3.09
La5 0.3945 0.7500 0.5237 [2 per cell]  3 Ru 2.78-2.94
La6 0.4412 0.2500 0.1739 [2 per cell]  2 Ru 2.72
Ru1 0.0854 0.2500 0.1557 [2 per cell]  5 La 2.69-2.98
Ru2 0.1686 0.7500 0.5223 [2 per cell]  6 La 2.78-3.09
Ru3 0.4927 0.7500 0.3178 [2 per cell]  4 La 2.72-2.94
I1 0.3316 0.7500 0.9332 [2 per cell]  7 La 3.46-3.66

Values from the calculation:
Fermi-level density of states, states/eV/cell: 11.6
E_tot, eV/atom: -6.34

=====

Compound: La4Ru2I3
Source: the Alexandria database
Functional: PBE
Structure: optimized geometry

Unit cell a=16.6661 b=4.0884 c=9.6142 alpha=90.00 beta=117.07 gamma=90.00
With the nearest neighbours (Å) after each atom.
Space group C2/m (No. 12)
Inequivalent atoms, fractional coordinates:
La1 0.0871 0.0000 0.3977 [4 per cell]  2 Ru 2.78
La2 0.1926 0.5000 0.1501 [4 per cell]  1 Ru 2.36
Ru1 0.2009 0.5000 0.4016 [4 per cell]  1 La 2.36
I1 0.0000 0.0000 0.0000 [2 per cell]  6 La 3.42-3.51
I2 0.1153 0.5000 0.7332 [4 per cell]  7 La 3.52-3.66

Values from the calculation:
Fermi-level density of states, states/eV/cell: 9.9
E_tot, eV/atom: -5.49

=====

Compound: La3RuI3
Source: the Alexandria database
Functional: PBE
Structure: optimized geometry

Unit cell a=9.8296 b=13.6593 c=7.9245 alpha=90.00 beta=98.69 gamma=90.00
With the nearest neighbours (Å) after each atom.
Space group C2/m (No. 12)
Inequivalent atoms, fractional coordinates:
La1 0.0847 0.0000 0.3070 [4 per cell]  2 Ru 2.71-2.99
La2 0.2058 0.3530 0.2114 [8 per cell]  1 Ru 2.43
Ru1 0.2092 0.0000 0.6357 [4 per cell]  3 La 2.43-2.71
I1 0.0000 0.1753 0.0000 [4 per cell]  6 La 3.43-3.58
I2 0.0000 0.2499 0.5000 [4 per cell]  6 La 3.56-3.88
I3 0.1240 0.5000 0.8536 [4 per cell]  3 La 3.30-3.47, 1 I 3.61

Values from the calculation:
Excess energy over the best structure of this formula in the dataset, eV/f.u.: 2.382
Fermi-level density of states, states/eV/cell: 17.9

=====

Compound: La2RuI
Source: the Alexandria database
Functional: PBE
Structure: optimized geometry

Unit cell a=7.5665 b=7.5665 c=7.5665 alpha=90.00 beta=90.00 gamma=90.00
With the nearest neighbours (Å) after each atom.
Space group Fm-3m (No. 225)
Inequivalent atoms, fractional coordinates:
La1 0.2500 0.2500 0.2500 [8 per cell]  4 Ru 3.28, 4 I 3.28
Ru1 0.0000 0.0000 0.0000 [4 per cell]  8 La 3.28
I1 0.0000 0.0000 0.5000 [4 per cell]  8 La 3.28

Values from the calculation:
Excess energy over the best structure of this formula in the dataset, eV/f.u.: 1.982
Fermi-level density of states, states/eV/cell: 21.9

=====

Compound: LaRuI2
Source: the Alexandria database
Functional: PBE
Structure: optimized geometry

Unit cell a=5.3421 b=5.3421 c=17.7499 alpha=90.00 beta=90.00 gamma=90.00
With the nearest neighbours (Å) after each atom.
Space group I-42d (No. 122)
Inequivalent atoms, fractional coordinates:
La1 0.0000 0.0000 0.0000 [4 per cell]  4 I 3.06
Ru1 0.0000 0.0000 0.5000 [4 per cell]  4 I 2.79
I1 0.1948 0.2500 0.6250 [8 per cell]  2 Ru 2.79, 2 La 3.06

Values from the calculation:
Excess energy over the best structure of this formula in the dataset, eV/f.u.: 0.000
Fermi-level density of states, states/eV/cell: 5.2

=====

Compound: LaRuI2
Source: the Alexandria database
Functional: PBE
Structure: optimized geometry

Unit cell a=7.4999 b=7.4999 c=7.4999 alpha=90.00 beta=90.00 gamma=90.00
With the nearest neighbours (Å) after each atom.
Space group Fm-3m (No. 225)
Inequivalent atoms, fractional coordinates:
La1 0.0000 0.0000 0.0000 [4 per cell]  8 I 3.25
Ru1 0.0000 0.0000 0.5000 [4 per cell]  8 I 3.25
I1 0.2500 0.2500 0.2500 [8 per cell]  4 La 3.25, 4 Ru 3.25

Values from the calculation:
Excess energy over the best structure of this formula in the dataset, eV/f.u.: 0.038
Fermi-level density of states, states/eV/cell: 19.6

=====

Compound: La5Ru2I2
Source: the Alexandria database
Functional: PBE
Structure: optimized geometry

Unit cell a=17.0068 b=7.7694 c=8.5470 alpha=90.00 beta=90.00 gamma=90.00
With the nearest neighbours (Å) after each atom.
Space group Cmce (No. 64)
Inequivalent atoms, fractional coordinates:
La1 0.0000 0.0000 0.0000 [4 per cell]  2 Ru 2.83
La2 0.1070 0.1454 0.3367 [16 per cell]  3 Ru 2.95-3.08
Ru1 0.0000 0.1639 0.6268 [8 per cell]  7 La 2.83-3.08
I1 0.2083 0.0000 0.0000 [8 per cell]  7 La 3.54-3.62

Values from the calculation:
Fermi-level density of states, states/eV/cell: 33.3
E_tot, eV/atom: -5.79

=====

Compound: LaRuI3
Source: the Alexandria database
Functional: PBE
Structure: optimized geometry

Unit cell a=5.3581 b=5.3581 c=5.3581 alpha=90.00 beta=90.00 gamma=90.00
With the nearest neighbours (Å) after each atom.
Space group Pm-3m (No. 221)
Inequivalent atoms, fractional coordinates:
La1 0.0000 0.0000 0.0000 [1 per cell]  12 I 3.79
Ru1 0.5000 0.5000 0.5000 [1 per cell]  6 I 2.68
I1 0.0000 0.5000 0.5000 [3 per cell]  2 Ru 2.68

Values from the calculation:
Excess energy over the best structure of this formula in the dataset, eV/f.u.: 0.000
Fermi-level density of states, states/eV/cell: 4.0

=====

Compound: La2RuI
Source: the Alexandria database
Functional: PBE
Structure: optimized geometry

Unit cell a=4.2257 b=4.2257 c=24.6574 alpha=90.00 beta=90.00 gamma=120.00
With the nearest neighbours (Å) after each atom.
Space group R-3m (No. 166, hexagonal axes)
Inequivalent atoms, fractional coordinates:
La1 0.0000 0.0000 0.2281 [6 per cell]  3 Ru 2.87
Ru1 0.0000 0.0000 0.5000 [3 per cell]  6 La 2.87
I1 0.0000 0.0000 0.0000 [3 per cell]  6 La 3.56

Values from the calculation:
Excess energy over the best structure of this formula in the dataset, eV/f.u.: 0.000
Fermi-level density of states, states/eV/cell: 7.6

=====

Compound: La2Ru2I
Source: the Alexandria database
Functional: PBE
Structure: optimized geometry

Unit cell a=4.3487 b=4.3487 c=17.8546 alpha=90.00 beta=90.00 gamma=120.00
With the nearest neighbours (Å) after each atom.
Space group P6_3/mmc (No. 194)
Inequivalent atoms, fractional coordinates:
La1 0.0000 0.0000 0.1054 [4 per cell]  6 Ru 3.10-3.18
Ru1 0.3333 0.6667 0.0037 [4 per cell]  3 Ru 2.51
I1 0.3333 0.6667 0.7500 [2 per cell]  6 La 3.60

Values from the calculation:
Fermi-level density of states, states/eV/cell: 11.4
E_tot, eV/atom: -6.61

=====

Compound: La4Ru2I
Source: the Alexandria database
Functional: PBE
Structure: optimized geometry

Unit cell a=4.2023 b=4.2023 c=44.1441 alpha=90.00 beta=90.00 gamma=120.00
With the nearest neighbours (Å) after each atom.
Space group R-3m (No. 166, hexagonal axes)
Inequivalent atoms, fractional coordinates:
La1 0.0000 0.0000 0.1271 [6 per cell]  3 Ru 2.82
La2 0.0000 0.0000 0.2743 [6 per cell]  3 Ru 2.89
Ru1 0.0000 0.0000 0.4278 [6 per cell]  6 La 2.82-2.89
I1 0.0000 0.0000 0.0000 [3 per cell]  6 La 3.56

Values from the calculation:
Fermi-level density of states, states/eV/cell: 11.0
E_tot, eV/atom: -6.24

=====

Compound: La7RuI12
Source: the Alexandria database
Functional: PBE
Structure: optimized geometry

Unit cell a=16.4070 b=16.4070 c=11.0790 alpha=90.00 beta=90.00 gamma=120.00
With the nearest neighbours (Å) after each atom.
Space group R-3 (No. 148, hexagonal axes)
Inequivalent atoms, fractional coordinates:
La1 0.0000 0.0000 0.0000 [3 per cell]  6 I 3.22
La2 0.0422 0.8842 0.3503 [18 per cell]  1 Ru 2.86
Ru1 0.0000 0.0000 0.5000 [3 per cell]  6 La 2.86
I1 0.0228 0.4358 0.1600 [18 per cell]  3 La 3.26-3.49
I2 0.0502 0.8658 0.8423 [18 per cell]  3 La 3.22-3.33

Values from the calculation:
Fermi-level density of states, states/eV/cell: 31.9
E_tot, eV/atom: -4.45

=====

Compound: La4Ru2I5
Source: the Alexandria database
Functional: PBE
Structure: optimized geometry

Unit cell a=4.3927 b=9.0987 c=19.9327 alpha=90.00 beta=90.00 gamma=90.00
With the nearest neighbours (Å) after each atom.
Space group Immm (No. 71)
Inequivalent atoms, fractional coordinates:
La1 0.0000 0.0000 0.1746 [4 per cell]  1 Ru 2.27
La2 0.0000 0.2903 0.5000 [4 per cell]  4 Ru 3.15, 4 I 3.41-3.44
Ru1 0.0000 0.0000 0.0608 [4 per cell]  1 La 2.27, 1 Ru 2.43
I1 0.0000 0.2180 0.3322 [8 per cell]  4 La 3.38-3.72
I2 0.0000 0.5000 0.0000 [2 per cell]  4 La 3.44

Values from the calculation:
Excess energy over the best structure of this formula in the dataset, eV/f.u.: 0.384
Fermi-level density of states, states/eV/cell: 6.3

=====

Compound: La8Ru3SI4
Source: the Alexandria database
Functional: PBE
Structure: optimized geometry

Unit cell a=8.5226 b=8.5226 c=24.5611 alpha=90.00 beta=90.00 gamma=120.00
With the nearest neighbours (Å) after each atom.
Space group R-3m (No. 166, hexagonal axes)
Inequivalent atoms, fractional coordinates:
La1 0.0000 0.0000 0.2310 [6 per cell]  3 Ru 2.92
La2 0.0148 0.5074 0.7722 [18 per cell]  2 Ru 2.84, 1 S 2.98
Ru1 0.0000 0.5000 0.5000 [9 per cell]  6 La 2.84-2.92
S1 0.0000 0.0000 0.5000 [3 per cell]  6 La 2.98
I1 0.0000 0.0000 0.0000 [3 per cell]  6 La 3.50
I2 0.0000 0.5000 0.0000 [9 per cell]  6 La 3.52-3.61

Values from the calculation:
Fermi-level density of states, states/eV/cell: 30.0
E_tot, eV/atom: -5.84

=====

Compound: La6Ru2SI3
Source: the Alexandria database
Functional: PBE
Structure: optimized geometry

Unit cell a=7.3842 b=12.7758 c=8.5233 alpha=90.00 beta=106.69 gamma=90.00
With the nearest neighbours (Å) after each atom.
Space group C2/m (No. 12)
Inequivalent atoms, fractional coordinates:
La1 0.2148 0.0000 0.1882 [4 per cell]  2 Ru 2.86, 1 S 2.99
La2 0.2362 0.3262 0.1877 [8 per cell]  2 Ru 2.85-2.86, 1 S 2.99
Ru1 0.0000 0.1668 0.0000 [4 per cell]  6 La 2.85-2.86
S1 0.0000 0.5000 0.0000 [2 per cell]  6 La 2.99
I1 0.0000 0.0000 0.5000 [2 per cell]  6 La 3.46-3.58
I2 0.0000 0.3344 0.5000 [4 per cell]  6 La 3.48-3.58

Values from the calculation:
Fermi-level density of states, states/eV/cell: 20.7
E_tot, eV/atom: -5.82